Density functional theory data (GGA-PBE) for an optimized crystal structure of NbCdPd3.

a b c (Å): 4.8636 4.8636 4.8636
angles (deg): 90.00 90.00 90.00
Space group Pm-3m (No. 221)
Asymmetric unit:
Nb  0.0000  0.0000  0.0000 (multiplicity 1)
Cd  0.5000  0.5000  0.5000 (multiplicity 1)
Pd  0.0000  0.0000  0.5000 (multiplicity 3)

Computed properties:
density of states at the Fermi level: 4.40 states/eV/cell
DFT formation energy: 3.84 eV/f.u.
excess energy over the best structure of this formula in the dataset: 0.931 eV/atom



Density functional theory data (GGA-PBE) for an optimized crystal structure of PaGaFe2Ge2.

a b c (Å): 4.3568 4.3568 5.5268
angles (deg): 90.00 90.00 90.00
Space group P4/mmm (No. 123)
Asymmetric unit:
Pa  0.0000  0.0000  0.0000 (multiplicity 1)
Ga  0.0000  0.0000  0.5000 (multiplicity 1)
Fe  0.0000  0.5000  0.5000 (multiplicity 2)
Ge  0.5000  0.5000  0.2366 (multiplicity 2)

Computed properties:
density of states at the Fermi level: 5.66 states/eV/cell
DFT formation energy: 0.67 eV/f.u.



Density functional theory data (GGA-PBE) for an optimized crystal structure of CaZr2Cu.

a b c (Å): 7.1371 7.1371 7.1371
angles (deg): 90.00 90.00 90.00
Space group F-43m (No. 216)
Asymmetric unit:
Ca  0.0000  0.0000  0.0000 (multiplicity 4)
Zr  0.0000  0.0000  0.5000 (multiplicity 4)
Zr  0.2500  0.2500  0.7500 (multiplicity 4)
Cu  0.2500  0.2500  0.2500 (multiplicity 4)

Computed properties:
density of states at the Fermi level: 15.28 states/eV/cell
DFT formation energy: 1.71 eV/f.u.
excess energy over the best structure of this formula in the dataset: 0.415 eV/atom



Density functional theory data (GGA-PBE) for an optimized crystal structure of Y2BiSb2.

a b c (Å): 8.3436 8.3436 4.1565
angles (deg): 90.00 90.00 90.00
Space group P4/mbm (No. 127)
Asymmetric unit:
Y  0.1535  0.3465  0.0000 (multiplicity 4)
Bi  0.0000  0.0000  0.0000 (multiplicity 2)
Sb  0.1524  0.6524  0.5000 (multiplicity 4)

Computed properties:
density of states at the Fermi level: 3.86 states/eV/cell
excess energy over the best structure of this formula in the dataset: 0.000 eV/atom
ΔE_f (raw): -0.71 eV/atom



Density functional theory data (GGA-PBE) for an optimized crystal structure of KSr2ZrRh.

a b c (Å): 5.9710 5.9710 4.8508
angles (deg): 90.00 90.00 90.00
Space group P4/mmm (No. 123)
Asymmetric unit:
K  0.0000  0.0000  0.0000 (multiplicity 1)
Sr  0.0000  0.5000  0.0000 (multiplicity 2)
Zr  0.5000  0.5000  0.5000 (multiplicity 1)
Rh  0.0000  0.0000  0.5000 (multiplicity 1)

Computed properties:
density of states at the Fermi level: 7.84 states/eV/cell
DFT formation energy: 6.56 eV/f.u.



Density functional theory data (GGA-PBE) for an optimized crystal structure of AlZnSi3.

a b c (Å): 4.7563 4.7563 4.7563
angles (deg): 90.00 90.00 90.00
Space group Pm-3m (No. 221)
Asymmetric unit:
Al  0.0000  0.0000  0.0000 (multiplicity 1)
Zn  0.5000  0.5000  0.5000 (multiplicity 1)
Si  0.0000  0.0000  0.5000 (multiplicity 3)

Computed properties:
density of states at the Fermi level: 2.92 states/eV/cell
excess energy over the best structure of this formula in the dataset: 0.000 eV/atom
ΔE_f (raw): 0.96 eV/atom



Density functional theory data (GGA-PBE) for an optimized crystal structure of HfScAsSe2.

a b c (Å): 5.0644 5.0644 5.2082
angles (deg): 90.00 90.00 90.00
Space group P4/mmm (No. 123)
Asymmetric unit:
Hf  0.0000  0.0000  0.0000 (multiplicity 1)
Sc  0.5000  0.5000  0.5000 (multiplicity 1)
As  0.0000  0.0000  0.5000 (multiplicity 1)
Se  0.0000  0.5000  0.0000 (multiplicity 2)

Computed properties:
density of states at the Fermi level: 2.06 states/eV/cell
excess energy over the best structure of this formula in the dataset: 0.000 eV/atom
ΔE_f (raw): -0.46 eV/atom



Density functional theory data (GGA-PBE) for an optimized crystal structure of Ac12HgRu6.

a b c (Å): 10.7576 10.7576 10.7576
angles (deg): 90.00 90.00 90.00
Space group Im-3 (No. 204)
Asymmetric unit:
Ac  0.0000  0.3090  0.1910 (multiplicity 24)
Hg  0.0000  0.0000  0.0000 (multiplicity 2)
Ru  0.0000  0.1202  0.5000 (multiplicity 12)

Computed properties:
density of states at the Fermi level: 37.39 states/eV/cell
DFT formation energy: -2.99 eV/f.u.



Density functional theory data (GGA-PBE) for an optimized crystal structure of LaNiBi2N.

a b c (Å): 6.2933 6.2933 4.8131
angles (deg): 90.00 90.00 90.00
Space group P4/mmm (No. 123)
Asymmetric unit:
La  0.0000  0.0000  0.0000 (multiplicity 1)
Ni  0.0000  0.0000  0.5000 (multiplicity 1)
Bi  0.0000  0.5000  0.0000 (multiplicity 2)
N  0.5000  0.5000  0.5000 (multiplicity 1)

Computed properties:
density of states at the Fermi level: 4.01 states/eV/cell
ΔE_f (raw): 1.74 eV/atom



Density functional theory data (GGA-PBE) for an optimized crystal structure of Ce3HoPa2P6.

a b c (Å): 6.9640 12.0627 6.9926
angles (deg): 90.00 109.40 90.00
Space group C2/m (No. 12)
Asymmetric unit:
Ce  0.0000  0.0000  0.0000 (multiplicity 2)
Ce  0.0000  0.3342  0.0000 (multiplicity 4)
Ho  0.0000  0.5000  0.5000 (multiplicity 2)
Pa  0.0000  0.1666  0.5000 (multiplicity 4)
P  0.2444  0.0000  0.7406 (multiplicity 4)
P  0.2481  0.3320  0.7403 (multiplicity 8)

Computed properties:
density of states at the Fermi level: 35.96 states/eV/cell
DFT formation energy: -17.53 eV/f.u.



Density functional theory data (GGA-PBE) for an optimized crystal structure of Pa3IrN2O6.

a b c (Å): 10.6170 6.8952 4.8211
angles (deg): 90.00 92.18 90.00
Space group C2/m (No. 12)
Asymmetric unit:
Pa  0.0000  0.0000  0.0000 (multiplicity 2)
Pa  0.2500  0.2500  0.5000 (multiplicity 4)
Ir  0.0000  0.5000  0.5000 (multiplicity 2)
N  0.1688  0.0000  0.2595 (multiplicity 4)
O  0.0730  0.2588  0.7383 (multiplicity 8)
O  0.1649  0.5000  0.2793 (multiplicity 4)

Computed properties:
ΔE_f (raw): -2.28 eV/atom



Density functional theory data (GGA-PBE) for an optimized crystal structure of Cu4PtAu3.

a b c (Å): 5.3415 9.3849 5.0027
angles (deg): 90.00 90.00 90.00
Space group Imm2 (No. 44)
Asymmetric unit:
Cu  0.0000  0.2229  0.0000 (multiplicity 4)
Cu  0.2355  0.0000  0.1903 (multiplicity 4)
Pt  0.0000  0.0000  0.6967 (multiplicity 2)
Au  0.0000  0.2719  0.5001 (multiplicity 4)
Au  0.0000  0.5000  0.1411 (multiplicity 2)

Computed properties:
density of states at the Fermi level: 6.97 states/eV/cell
DFT formation energy: 0.68 eV/f.u.
excess energy over the best structure of this formula in the dataset: 0.177 eV/atom